<i>
Density functional theory data (GGA-PBE) for a relaxed structure of ZrIr3Au.

Values from the calculation:
- Fermi-level density of states (states/eV per atom) = 1.20
- symmetry = Pm-3m, No. 221

Lattice parameters (Å, degrees): 4.8366 4.8366 4.8366 90.00 90.00 90.00
Fractional coordinates of all 5 atoms:
Zr (0.0000, 0.0000, 0.0000)
Ir (0.0000, 0.0000, 0.5000)
Ir (0.0000, 0.5000, 0.0000)
Ir (0.5000, 0.0000, 0.0000)
Au (0.5000, 0.5000, 0.5000)

<ii>
Density functional theory data (GGA-PBE) for a relaxed structure of ZrIr3Au.

Values from the calculation:
- Fermi-level density of states (states/eV per atom) = 1.93
- symmetry = Pm-3m, No. 221

Lattice parameters (Å, degrees): 4.8057 4.8057 4.8057 90.00 90.00 90.00
Fractional coordinates of all 5 atoms:
Zr (0.0000, 0.0000, 0.0000)
Ir (0.0000, 0.5000, 0.5000)
Ir (0.5000, 0.0000, 0.5000)
Ir (0.5000, 0.5000, 0.0000)
Au (0.5000, 0.5000, 0.5000)

We find <i> to be the most stable, with the next structure 21 meV per atom higher.

<i>
Density functional theory data (GGA-PBE) for a relaxed structure of Zr4IrAu.

Values from the calculation:
- Fermi-level density of states (states/eV per atom) = 1.13
- symmetry = F-43m, No. 216

Lattice parameters (Å, degrees): 8.9467 8.9467 8.9467 60.00 60.00 60.00
Fractional coordinates of all 24 atoms:
Zr (0.1849, 0.1849, 0.8151)
Zr (0.1849, 0.8151, 0.1849)
Zr (0.1849, 0.8151, 0.8151)
Zr (0.3644, 0.3644, 0.3644)
Zr (0.3644, 0.3644, 0.9066)
Zr (0.3644, 0.9066, 0.3644)
Zr (0.5621, 0.5621, 0.9379)
Zr (0.5621, 0.9379, 0.5621)
Zr (0.5621, 0.9379, 0.9379)
Zr (0.8151, 0.1849, 0.1849)
Zr (0.8151, 0.1849, 0.8151)
Zr (0.8151, 0.8151, 0.1849)
Zr (0.9066, 0.3644, 0.3644)
Zr (0.9379, 0.5621, 0.5621)
Zr (0.9379, 0.5621, 0.9379)
Zr (0.9379, 0.9379, 0.5621)
Ir (0.1483, 0.1483, 0.1483)
Ir (0.1483, 0.1483, 0.5550)
Ir (0.1483, 0.5550, 0.1483)
Ir (0.5550, 0.1483, 0.1483)
Au (0.2341, 0.5886, 0.5886)
Au (0.5886, 0.2341, 0.5886)
Au (0.5886, 0.5886, 0.2341)
Au (0.5886, 0.5886, 0.5886)

<ii>
Density functional theory data (GGA-PBE) for a relaxed structure of Zr4IrAu.

Values from the calculation:
- Fermi-level density of states (states/eV per atom) = 0.99
- symmetry = P2_1/c, No. 14

Lattice parameters (Å, degrees): 7.3069 6.8516 5.7473 90.00 95.14 90.00
Fractional coordinates of all 12 atoms:
Zr (0.1391, 0.1437, 0.4240)
Zr (0.1391, 0.3563, 0.9240)
Zr (0.2689, 0.6807, 0.3216)
Zr (0.2689, 0.8193, 0.8216)
Zr (0.7311, 0.1807, 0.1784)
Zr (0.7311, 0.3193, 0.6784)
Zr (0.8609, 0.6437, 0.0760)
Zr (0.8609, 0.8563, 0.5760)
Ir (0.0000, 0.0000, 0.0000)
Ir (0.0000, 0.5000, 0.5000)
Au (0.5000, 0.0000, 0.5000)
Au (0.5000, 0.5000, 0.0000)

We find <i> to be the most stable, with the next structure 298 meV per atom higher.

<i>
Density functional theory data (GGA-PBE) for a relaxed structure of KAu3.

Values from the calculation:
- Fermi-level density of states (states/eV per atom) = 0.49
- symmetry = P4/mmm, No. 123

Lattice parameters (Å, degrees): 3.5301 3.5301 7.5854 90.00 90.00 90.00
Fractional coordinates of all 4 atoms:
K (0.0000, 0.0000, 0.0000)
Au (0.0000, 0.0000, 0.5000)
Au (0.5000, 0.5000, 0.3107)
Au (0.5000, 0.5000, 0.6893)

<ii>
Density functional theory data (GGA-PBE) for a relaxed structure of KAu3.

Values from the calculation:
- Fermi-level density of states (states/eV per atom) = 0.29
- symmetry = Cmcm, No. 63

Lattice parameters (Å, degrees): 7.2305 7.2305 4.4992 90.00 90.00 116.70
Fractional coordinates of all 8 atoms:
K (0.1577, 0.8423, 0.7500)
K (0.8423, 0.1577, 0.2500)
Au (0.2355, 0.3744, 0.7500)
Au (0.3605, 0.6395, 0.2500)
Au (0.3744, 0.2355, 0.2500)
Au (0.6256, 0.7645, 0.7500)
Au (0.6395, 0.3605, 0.7500)
Au (0.7645, 0.6256, 0.2500)

<iii>
Density functional theory data (GGA-PBE) for a relaxed structure of KAu3.

Values from the calculation:
- Fermi-level density of states (states/eV per atom) = 0.24
- symmetry = P4/mmm, No. 123

Lattice parameters (Å, degrees): 5.5110 5.5110 2.8612 90.00 90.00 90.00
Fractional coordinates of all 4 atoms:
K (0.0000, 0.0000, 0.0000)
Au (0.0000, 0.5000, 0.5000)
Au (0.5000, 0.0000, 0.5000)
Au (0.5000, 0.5000, 0.0000)

<iv>
Density functional theory data (GGA-PBE) for a relaxed structure of KAu3.

Values from the calculation:
- Fermi-level density of states (states/eV per atom) = 0.21
- symmetry = C2/m, No. 12

Lattice parameters (Å, degrees): 6.3936 6.3936 5.5570 114.02 114.02 25.77
Fractional coordinates of all 4 atoms:
K (0.0000, 0.0000, 0.0000)
Au (0.2197, 0.2197, 0.7245)
Au (0.5000, 0.5000, 0.5000)
Au (0.7803, 0.7803, 0.2755)

We find <iv> to be the most stable, with the next structure 8 meV per atom higher.

<i>
Density functional theory data (GGA-PBE) for a relaxed structure of KAu3.

Values from the calculation:
- Fermi-level density of states (states/eV per atom) = 0.75
- symmetry = R-3m, No. 166

Lattice parameters (Å, degrees): 10.3704 10.3704 10.3704 17.09 17.09 17.09
Fractional coordinates of all 4 atoms:
K (0.0000, 0.0000, 0.0000)
Au (0.2429, 0.2429, 0.2429)
Au (0.5000, 0.5000, 0.5000)
Au (0.7571, 0.7571, 0.7571)

<ii>
Density functional theory data (GGA-PBE) for a relaxed structure of KAu3.

Values from the calculation:
- Fermi-level density of states (states/eV per atom) = 0.48
- symmetry = P-6m2, No. 187

Lattice parameters (Å, degrees): 3.0786 3.0786 10.2582 90.00 90.00 120.00
Fractional coordinates of all 4 atoms:
K (0.0000, 0.0000, 0.0000)
Au (0.0000, 0.0000, 0.5000)
Au (0.3333, 0.6667, 0.2710)
Au (0.3333, 0.6667, 0.7290)

<iii>
Density functional theory data (GGA-PBE) for a relaxed structure of KAu3.

Values from the calculation:
- Fermi-level density of states (states/eV per atom) = 0.30
- symmetry = I4/mmm, No. 139

Lattice parameters (Å, degrees): 5.5681 5.5681 5.5681 134.86 134.86 65.75
Fractional coordinates of all 4 atoms:
K (0.0000, 0.0000, 0.0000)
Au (0.2500, 0.7500, 0.5000)
Au (0.5000, 0.5000, 0.0000)
Au (0.7500, 0.2500, 0.5000)

We find <iii> to be the most stable, with the next structure 90 meV per atom higher.